(1)
# SCAN TaMnSb2, PBEsol geometry
data_TaMnSb2
_chemical_formula_sum 'Ta4 Mn4 Sb8'
_cell_length_a 6.746
_cell_length_b 6.746
_cell_length_c 6.746
_cell_angle_alpha 90.00
_cell_angle_beta 90.00
_cell_angle_gamma 90.00
_symmetry_space_group_name_H-M 'F -4 3 m'
_symmetry_Int_Tables_number 216
_symmetry_space_group_name_Hall 'F -4 2 3'
loop_
_atom_site_label
_atom_site_type_symbol
_atom_site_fract_x
_atom_site_fract_y
_atom_site_fract_z
_atom_site_occupancy
Ta1 Ta 0.000 0.000 0.000 1
Mn1 Mn 0.250 0.250 0.250 1
Sb1 Sb 0.000 0.000 0.500 1
Sb2 Sb 0.250 0.250 0.750 1
# offset from the most stable computed form = 1.92 eV per formula unit
# E = -39.35 eV/atom
# energy relative to the elements, uncorrected = 486 meV per atom
# density of states at the Fermi level = 0.29 states/eV/atom
# V = 19.2 Å³ per atom
# crystal system = cubic



(2)
# SCAN KZnFe2Si, PBEsol geometry
data_KZnFe2Si
_chemical_formula_sum 'K1 Zn1 Fe2 Si1'
_cell_length_a 4.388
_cell_length_b 4.388
_cell_length_c 4.958
_cell_angle_alpha 90.00
_cell_angle_beta 90.00
_cell_angle_gamma 90.00
_symmetry_space_group_name_H-M 'P 4/m m m'
_symmetry_Int_Tables_number 123
_symmetry_space_group_name_Hall '-P 4 2'
loop_
_atom_site_label
_atom_site_type_symbol
_atom_site_fract_x
_atom_site_fract_y
_atom_site_fract_z
_atom_site_occupancy
K1 K 0.000 0.000 0.000 1
Zn1 Zn 0.000 0.000 0.500 1
Fe1 Fe 0.000 0.500 0.000 1
Si1 Si 0.500 0.500 0.500 1
# E = -11.25 eV/atom
# energy relative to the elements, uncorrected = 2375 meV per atom
# density of states at the Fermi level = 0.68 states/eV/atom
# V = 19.1 Å³ per atom
# crystal system = tetragonal